[1]
LiNdTmCr: relaxed, PBE.

Results
energy: -80.0 eV for the cell shown
ρ: 6469 kg/m3
formation energy: 0.195 eV/atom
Fermi-level density of states: 0.9030 states/eV per atom

Cell: 7.2563 7.2563 7.2563 Å, 90.00 90.00 90.00°
With the nearest neighbours (Å) after each atom.
Fractional coordinates of all 16 atoms:
Li: 0.0000 0.0000 0.0000  4 Nd 3.14, 4 Tm 3.14
Li: 0.0000 0.5000 0.5000  4 Tm 3.14, 4 Nd 3.14
Li: 0.5000 0.0000 0.5000  4 Tm 3.14, 4 Nd 3.14
Li: 0.5000 0.5000 0.0000  4 Nd 3.14, 4 Tm 3.14
Nd: 0.2500 0.2500 0.2500  4 Cr 3.14, 4 Li 3.14
Nd: 0.2500 0.7500 0.7500  4 Cr 3.14, 4 Li 3.14
Nd: 0.7500 0.2500 0.7500  4 Cr 3.14, 4 Li 3.14
Nd: 0.7500 0.7500 0.2500  4 Cr 3.14, 4 Li 3.14
Tm: 0.2500 0.2500 0.7500  4 Cr 3.14, 4 Li 3.14
Tm: 0.2500 0.7500 0.2500  4 Cr 3.14, 4 Li 3.14
Tm: 0.7500 0.2500 0.2500  4 Cr 3.14, 4 Li 3.14
Tm: 0.7500 0.7500 0.7500  4 Cr 3.14, 4 Li 3.14
Cr: 0.0000 0.0000 0.5000  4 Nd 3.14, 4 Tm 3.14
Cr: 0.0000 0.5000 0.0000  4 Nd 3.14, 4 Tm 3.14
Cr: 0.5000 0.0000 0.0000  4 Nd 3.14, 4 Tm 3.14
Cr: 0.5000 0.5000 0.5000  4 Nd 3.14, 4 Tm 3.14



[2]
Li2Cr2Ni: relaxed, PBE.

Results
energy: -51.0 eV for the cell shown
ρ: 4216 kg/m3
formation energy: 0.671 eV/atom
Fermi-level density of states: 0.8722 states/eV per atom

Cell: 3.3858 3.3858 12.1327 Å, 90.00 90.00 90.00°
With the nearest neighbours (Å) after each atom.
Fractional coordinates of all 10 atoms:
Li: 0.0000 0.5000 0.2500  4 Li 2.39
Li: 0.0000 0.5000 0.7500  4 Li 2.39
Li: 0.5000 0.0000 0.2500  4 Li 2.39
Li: 0.5000 0.0000 0.7500  4 Li 2.39
Cr: 0.0000 0.0000 0.0743  1 Cr 1.80
Cr: 0.0000 0.0000 0.9257  1 Cr 1.80
Cr: 0.5000 0.5000 0.4257  1 Cr 1.80
Cr: 0.5000 0.5000 0.5743  1 Cr 1.80
Ni: 0.0000 0.0000 0.5000  8 Cr 2.56
Ni: 0.5000 0.5000 0.0000  8 Cr 2.56



[3]
LiCrNi2: relaxed, PBE.

Results
energy: -44.5 eV for the cell shown
ρ: 6465 kg/m3
formation energy: 0.211 eV/atom
Fermi-level density of states: 1.3332 states/eV per atom

Cell: 8.0904 2.4272 4.6347 Å, 90.00 95.61 90.00°
With the nearest neighbours (Å) after each atom.
Fractional coordinates of all 8 atoms:
Li: 0.0000 0.0000 0.0000  6 Ni 2.43-2.56, 2 Li 2.43, 4 Cr 2.62
Li: 0.5000 0.5000 0.0000  6 Ni 2.43-2.56, 2 Li 2.43, 4 Cr 2.62
Cr: 0.0000 0.5000 0.5000  2 Cr 2.43, 6 Ni 2.43-2.52, 4 Li 2.62
Cr: 0.5000 0.0000 0.5000  2 Cr 2.43, 6 Ni 2.43-2.52, 4 Li 2.62
Ni: 0.2480 0.0000 0.7448  3 Li 2.43-2.56, 6 Ni 2.43-2.66, 3 Cr 2.43-2.52
Ni: 0.2520 0.5000 0.2552  3 Li 2.43-2.56, 6 Ni 2.43-2.66, 3 Cr 2.43-2.52
Ni: 0.7480 0.5000 0.7448  3 Li 2.43-2.56, 6 Ni 2.43-2.66, 3 Cr 2.43-2.52
Ni: 0.7520 0.0000 0.2552  3 Li 2.43-2.56, 6 Ni 2.43-2.66, 3 Cr 2.43-2.52